Here is Sb6PdAu after structural relaxation from the Alexandria database. Energies are from PBE-GGA.

Lattice parameters (Å, degrees): 8.410 8.410 9.730 125.24 125.24 70.41
Fractional positions:
Sb1 0.002 0.695 0.355
Sb2 0.146 0.842 0.841
Sb3 0.158 0.854 0.159
Sb4 0.305 0.998 0.645
Sb5 0.343 0.343 0.499
Sb6 0.352 0.352 0.205
Sb7 0.648 0.648 0.795
Sb8 0.657 0.657 0.501
Sb9 0.695 0.002 0.355
Sb10 0.842 0.146 0.841
Sb11 0.854 0.158 0.159
Sb12 0.998 0.305 0.645
Pd1 0.000 0.500 0.500
Pd2 0.500 0.000 0.500
Au1 0.000 0.500 0.000
Au2 0.500 0.000 0.000

Values from the calculation:
calculated density	7.5	g/cm3
ΔE_f (raw)	-0.122	eV per atom